Record 1
VASP calculation (PBE) on crystalline NaGdCdBi at its relaxed geometry.

Structure (POSCAR):
```
NaGdCdBi
1.0
0.000 3.836 3.836
3.836 0.000 3.836
3.836 3.836 0.000
Na Gd Cd Bi
1 1 1 1
direct
0.000 0.000 0.000
0.500 0.500 0.500
0.250 0.250 0.250
0.750 0.750 0.750
```

Calculated values
- Energy of formation from the pure elements: -33.6 kJ per mole of atoms
- Total magnetization: 7.08 μB/f.u.

=====

Record 2
VASP calculation (PBE) on crystalline PrSm2Dy5 at its relaxed geometry.

Structure (POSCAR):
```
PrSm2Dy5
1.0
7.175 0.000 0.000
0.000 14.356 0.000
0.000 0.000 5.061
Pr Sm Dy
2 4 10
direct
0.000 0.000 0.000
0.500 0.500 0.000
0.248 0.374 0.500
0.252 0.874 0.500
0.748 0.126 0.500
0.752 0.626 0.500
0.000 0.500 0.000
0.001 0.749 0.000
0.250 0.126 0.500
0.250 0.626 0.500
0.499 0.249 0.000
0.500 0.000 0.000
0.501 0.751 0.000
0.750 0.374 0.500
0.750 0.874 0.500
0.999 0.251 0.000
```

Calculated values
- Energy of formation from the pure elements: 1.7 kJ per mole of atoms
- Total magnetization: 0.00 μB/f.u.

=====

Record 3
VASP calculation (PBE) on crystalline SiNiPH at its relaxed geometry.

Structure (POSCAR):
```
SiNiPH
1.0
2.761 0.000 0.000
0.000 1.715 5.044
0.000 -1.715 5.044
Si Ni P H
1 1 1 1
direct
0.000 0.000 0.000
0.500 0.180 0.180
0.000 0.355 0.355
0.500 0.670 0.670
```

Calculated values
- Electronic total energy: -20.542 eV per cell
- Total magnetization: 0.00 μB/f.u.

=====

Record 4
VASP calculation (PBE) on crystalline PrDy2Y at its relaxed geometry.

Structure (POSCAR):
```
PrDy2Y
1.0
1.811 1.045 11.597
-1.811 1.045 11.597
0.000 -2.091 11.597
Pr Dy Y
1 2 1
direct
0.000 0.000 0.000
0.418 0.418 0.418
0.582 0.582 0.582
0.166 0.166 0.166
```

Calculated values
- Energy of formation from the pure elements: 0.8 kJ per mole of atoms
- Total magnetization: 0.00 μB/f.u.

=====

Record 5
VASP calculation (PBE) on crystalline Mn2Ni2W at its relaxed geometry.

Structure (POSCAR):
```
Mn2Ni2W
1.0
6.834 0.000 0.000
0.000 6.834 0.000
0.000 0.000 2.561
Mn Ni W
4 4 2
direct
0.175 0.325 0.000
0.325 0.825 0.000
0.675 0.175 0.000
0.825 0.675 0.000
0.122 0.622 0.500
0.378 0.122 0.500
0.622 0.878 0.500
0.878 0.378 0.500
0.000 0.000 0.500
0.500 0.500 0.500
```

Calculated values
- Energy of formation from the pure elements: 22.8 kJ per mole of atoms
- Total magnetization: 0.00 μB/f.u.

=====

Record 6
VASP calculation (PBE) on crystalline HgPICl2 at its relaxed geometry.

Structure (POSCAR):
```
HgPICl2
1.0
5.026 0.000 0.000
0.000 5.026 0.000
0.000 0.000 5.648
Hg P I Cl
1 1 1 2
direct
0.000 0.000 0.000
0.000 0.000 0.500
0.500 0.500 0.500
0.000 0.500 0.000
0.500 0.000 0.000
```

Calculated values
- Formation energy (no corrections): 0.4212 eV per atom
- Total magnetization: 0.64 μB/f.u.